Crystalline MnH4Cl2O2 at its relaxed geometry. Source: Alexandria via LeMat-Bulk, functional PBE+U.

Results
M_tot (μB per formula unit): 5.00
N(E_F) (states/eV/atom): 0.000
Calculated total energy (eV for the cell shown): -89.8

Cell: 7.8465 8.7652 3.7695 Å, 90.00 102.99 90.00°
Space group C2/m (No. 12)
Asymmetric unit:
Mn: 0.0000 0.0000 0.0000
H: 0.0885 0.3137 0.1502
Cl: 0.2331 0.0000 0.5993
O: 0.0000 0.2467 0.0000